#a
# LaHIr3, optimized geometry, DFT GGA-PBE
data_LaHIr3
_cell_length_a 4.1931
_cell_length_b 4.1931
_cell_length_c 4.1931
_cell_angle_alpha 90.00
_cell_angle_beta 90.00
_cell_angle_gamma 90.00
_symmetry_space_group_name_H-M 'P 1'
_symmetry_Int_Tables_number 1
loop_
_symmetry_equiv_pos_as_xyz
'x,y,z'
loop_
_atom_site_label
_atom_site_type_symbol
_atom_site_fract_x
_atom_site_fract_y
_atom_site_fract_z
La1 La 0.0000 0.0000 0.0000
H1 H 0.5000 0.5000 0.5000
Ir1 Ir 0.0000 0.5000 0.5000
Ir2 Ir 0.5000 0.0000 0.5000
Ir3 Ir 0.5000 0.5000 0.0000
# volume: 73.7 Å³ per cell



#b
# LaHIr3, optimized geometry, DFT GGA-PBE
data_LaHIr3
_cell_length_a 5.0388
_cell_length_b 5.0388
_cell_length_c 5.0388
_cell_angle_alpha 90.00
_cell_angle_beta 90.00
_cell_angle_gamma 90.00
_symmetry_space_group_name_H-M 'P 1'
_symmetry_Int_Tables_number 1
loop_
_symmetry_equiv_pos_as_xyz
'x,y,z'
loop_
_atom_site_label
_atom_site_type_symbol
_atom_site_fract_x
_atom_site_fract_y
_atom_site_fract_z
La1 La 0.0000 0.0000 0.0000
H1 H 0.5000 0.5000 0.5000
Ir1 Ir 0.0000 0.0000 0.5000
Ir2 Ir 0.0000 0.5000 0.0000
Ir3 Ir 0.5000 0.0000 0.0000
# volume: 127.9 Å³ per cell



The energy of each structure relative to the most stable one, in eV/atom, is as follows: #a 0.000; #b 2.702.



#a
# LaH4Ir, optimized geometry, DFT GGA-PBE
data_LaH4Ir
_cell_length_a 6.0005
_cell_length_b 6.0005
_cell_length_c 6.7166
_cell_angle_alpha 102.97
_cell_angle_beta 102.97
_cell_angle_gamma 38.83
_symmetry_space_group_name_H-M 'P 1'
_symmetry_Int_Tables_number 1
loop_
_symmetry_equiv_pos_as_xyz
'x,y,z'
loop_
_atom_site_label
_atom_site_type_symbol
_atom_site_fract_x
_atom_site_fract_y
_atom_site_fract_z
La1 La 0.1878 0.1878 0.2067
La2 La 0.8122 0.8122 0.7933
H1 H 0.0404 0.0404 0.8825
H2 H 0.0494 0.0494 0.4204
H3 H 0.2388 0.2388 0.5977
H4 H 0.4007 0.4007 0.3108
H5 H 0.5993 0.5993 0.6892
H6 H 0.7612 0.7612 0.4023
H7 H 0.9506 0.9506 0.5796
H8 H 0.9596 0.9596 0.1175
Ir1 Ir 0.1131 0.1131 0.6931
Ir2 Ir 0.8869 0.8869 0.3069
# volume: 147.3 Å³ per cell



#b
# LaH4Ir, optimized geometry, DFT GGA-PBE
data_LaH4Ir
_cell_length_a 6.5152
_cell_length_b 6.5152
_cell_length_c 5.0959
_cell_angle_alpha 90.00
_cell_angle_beta 90.00
_cell_angle_gamma 144.80
_symmetry_space_group_name_H-M 'P 1'
_symmetry_Int_Tables_number 1
loop_
_symmetry_equiv_pos_as_xyz
'x,y,z'
loop_
_atom_site_label
_atom_site_type_symbol
_atom_site_fract_x
_atom_site_fract_y
_atom_site_fract_z
La1 La 0.1288 0.8712 0.7500
La2 La 0.8712 0.1288 0.2500
H1 H 0.1002 0.8998 0.2500
H2 H 0.3055 0.6945 0.0016
H3 H 0.3055 0.6945 0.4984
H4 H 0.5000 0.5000 0.0000
H5 H 0.5000 0.5000 0.5000
H6 H 0.6945 0.3055 0.5016
H7 H 0.6945 0.3055 0.9984
H8 H 0.8998 0.1002 0.7500
Ir1 Ir 0.3961 0.6039 0.7500
Ir2 Ir 0.6039 0.3961 0.2500
# volume: 124.7 Å³ per cell



The energy of each structure relative to the most stable one, in eV/atom, is as follows: #a 0.165; #b 0.000.



#a
# La2HIr2, optimized geometry, DFT GGA-PBE
data_La2HIr2
_cell_length_a 7.7477
_cell_length_b 7.7477
_cell_length_c 3.7562
_cell_angle_alpha 90.00
_cell_angle_beta 90.00
_cell_angle_gamma 90.00
_symmetry_space_group_name_H-M 'P 1'
_symmetry_Int_Tables_number 1
loop_
_symmetry_equiv_pos_as_xyz
'x,y,z'
loop_
_atom_site_label
_atom_site_type_symbol
_atom_site_fract_x
_atom_site_fract_y
_atom_site_fract_z
La1 La 0.1799 0.3201 0.0000
La2 La 0.3201 0.8201 0.0000
La3 La 0.6799 0.1799 0.0000
La4 La 0.8201 0.6799 0.0000
H1 H 0.0000 0.0000 0.5000
H2 H 0.5000 0.5000 0.5000
Ir1 Ir 0.1220 0.6220 0.5000
Ir2 Ir 0.3780 0.1220 0.5000
Ir3 Ir 0.6220 0.8780 0.5000
Ir4 Ir 0.8780 0.3780 0.5000
# volume: 225.5 Å³ per cell



#b
# La2HIr2, optimized geometry, DFT GGA-PBE
data_La2HIr2
_cell_length_a 5.1784
_cell_length_b 5.1784
_cell_length_c 5.1784
_cell_angle_alpha 113.61
_cell_angle_beta 113.61
_cell_angle_gamma 101.47
_symmetry_space_group_name_H-M 'P 1'
_symmetry_Int_Tables_number 1
loop_
_symmetry_equiv_pos_as_xyz
'x,y,z'
loop_
_atom_site_label
_atom_site_type_symbol
_atom_site_fract_x
_atom_site_fract_y
_atom_site_fract_z
La1 La 0.2500 0.7500 0.5000
La2 La 0.7500 0.2500 0.5000
H1 H 0.0000 0.0000 0.0000
Ir1 Ir 0.2871 0.2871 0.0000
Ir2 Ir 0.7129 0.7129 0.0000
# volume: 105.4 Å³ per cell



The energy of each structure relative to the most stable one, in eV/atom, is as follows: #a 0.157; #b 0.000.



#a
# LaHIr, optimized geometry, DFT GGA-PBE
data_LaHIr
_cell_length_a 3.9546
_cell_length_b 3.9546
_cell_length_c 3.8368
_cell_angle_alpha 90.00
_cell_angle_beta 90.00
_cell_angle_gamma 120.00
_symmetry_space_group_name_H-M 'P 1'
_symmetry_Int_Tables_number 1
loop_
_symmetry_equiv_pos_as_xyz
'x,y,z'
loop_
_atom_site_label
_atom_site_type_symbol
_atom_site_fract_x
_atom_site_fract_y
_atom_site_fract_z
La1 La 0.0000 0.0000 0.0000
H1 H 0.3333 0.6667 0.5000
Ir1 Ir 0.6667 0.3333 0.5000
# volume: 52.0 Å³ per cell



#b
# LaHIr, optimized geometry, DFT GGA-PBE
data_LaHIr
_cell_length_a 6.3000
_cell_length_b 6.3000
_cell_length_c 4.4006
_cell_angle_alpha 91.01
_cell_angle_beta 91.01
_cell_angle_gamma 37.43
_symmetry_space_group_name_H-M 'P 1'
_symmetry_Int_Tables_number 1
loop_
_symmetry_equiv_pos_as_xyz
'x,y,z'
loop_
_atom_site_label
_atom_site_type_symbol
_atom_site_fract_x
_atom_site_fract_y
_atom_site_fract_z
La1 La 0.1306 0.1306 0.2654
La2 La 0.8694 0.8694 0.7346
H1 H 0.3110 0.3110 0.0120
H2 H 0.6890 0.6890 0.9880
Ir1 Ir 0.4159 0.4159 0.2792
Ir2 Ir 0.5841 0.5841 0.7208
# volume: 106.1 Å³ per cell



The energy of each structure relative to the most stable one, in eV/atom, is as follows: #a 0.420; #b 0.000.



#a
# La2HIr, optimized geometry, DFT GGA-PBE
data_La2HIr
_cell_length_a 6.6936
_cell_length_b 6.6936
_cell_length_c 6.6936
_cell_angle_alpha 36.17
_cell_angle_beta 36.17
_cell_angle_gamma 36.17
_symmetry_space_group_name_H-M 'P 1'
_symmetry_Int_Tables_number 1
loop_
_symmetry_equiv_pos_as_xyz
'x,y,z'
loop_
_atom_site_label
_atom_site_type_symbol
_atom_site_fract_x
_atom_site_fract_y
_atom_site_fract_z
La1 La 0.2486 0.2486 0.2486
La2 La 0.7514 0.7514 0.7514
H1 H 0.5000 0.5000 0.5000
Ir1 Ir 0.0000 0.0000 0.0000
# volume: 93.5 Å³ per cell



#b
# La2HIr, optimized geometry, DFT GGA-PBE
data_La2HIr
_cell_length_a 4.9544
_cell_length_b 4.9544
_cell_length_c 4.9544
_cell_angle_alpha 60.00
_cell_angle_beta 60.00
_cell_angle_gamma 60.00
_symmetry_space_group_name_H-M 'P 1'
_symmetry_Int_Tables_number 1
loop_
_symmetry_equiv_pos_as_xyz
'x,y,z'
loop_
_atom_site_label
_atom_site_type_symbol
_atom_site_fract_x
_atom_site_fract_y
_atom_site_fract_z
La1 La 0.2500 0.2500 0.2500
La2 La 0.7500 0.7500 0.7500
H1 H 0.0000 0.0000 0.0000
Ir1 Ir 0.5000 0.5000 0.5000
# volume: 86.0 Å³ per cell



#c
# La2HIr, optimized geometry, DFT GGA-PBE
data_La2HIr
_cell_length_a 7.6933
_cell_length_b 7.6933
_cell_length_c 7.6933
_cell_angle_alpha 136.22
_cell_angle_beta 136.22
_cell_angle_gamma 63.64
_symmetry_space_group_name_H-M 'P 1'
_symmetry_Int_Tables_number 1
loop_
_symmetry_equiv_pos_as_xyz
'x,y,z'
loop_
_atom_site_label
_atom_site_type_symbol
_atom_site_fract_x
_atom_site_fract_y
_atom_site_fract_z
La1 La 0.0876 0.6250 0.9626
La2 La 0.3750 0.3376 0.4626
La3 La 0.6624 0.1250 0.0374
La4 La 0.8750 0.9124 0.5374
H1 H 0.0000 0.0000 0.0000
H2 H 0.7500 0.2500 0.5000
Ir1 Ir 0.2500 0.7500 0.5000
Ir2 Ir 0.5000 0.5000 0.0000
# volume: 215.1 Å³ per cell



The energy of each structure relative to the most stable one, in eV/atom, is as follows: #a 0.000; #b 0.199; #c 0.303.



#a
# LaHIr2, optimized geometry, DFT GGA-PBE
data_LaHIr2
_cell_length_a 5.6707
_cell_length_b 5.6707
_cell_length_c 5.6707
_cell_angle_alpha 119.94
_cell_angle_beta 119.94
_cell_angle_gamma 90.10
_symmetry_space_group_name_H-M 'P 1'
_symmetry_Int_Tables_number 1
loop_
_symmetry_equiv_pos_as_xyz
'x,y,z'
loop_
_atom_site_label
_atom_site_type_symbol
_atom_site_fract_x
_atom_site_fract_y
_atom_site_fract_z
La1 La 0.0000 0.0000 0.0000
La2 La 0.7500 0.2500 0.5000
H1 H 0.2500 0.7500 0.5000
H2 H 0.5000 0.5000 0.0000
Ir1 Ir 0.3730 0.6250 0.2480
Ir2 Ir 0.3750 0.6230 0.7480
Ir3 Ir 0.3770 0.1250 0.7520
Ir4 Ir 0.8750 0.6270 0.2520
# volume: 129.1 Å³ per cell



#b
# LaHIr2, optimized geometry, DFT GGA-PBE
data_LaHIr2
_cell_length_a 4.5927
_cell_length_b 4.5927
_cell_length_c 4.5927
_cell_angle_alpha 60.00
_cell_angle_beta 60.00
_cell_angle_gamma 60.00
_symmetry_space_group_name_H-M 'P 1'
_symmetry_Int_Tables_number 1
loop_
_symmetry_equiv_pos_as_xyz
'x,y,z'
loop_
_atom_site_label
_atom_site_type_symbol
_atom_site_fract_x
_atom_site_fract_y
_atom_site_fract_z
La1 La 0.0000 0.0000 0.0000
H1 H 0.5000 0.5000 0.5000
Ir1 Ir 0.2500 0.2500 0.2500
Ir2 Ir 0.7500 0.7500 0.7500
# volume: 68.5 Å³ per cell



The energy of each structure relative to the most stable one, in eV/atom, is as follows: #a 0.000; #b 1.066.